# 1
The following is a DFT calculation (GGA-PBE) of an optimized crystal structure of NaMnCu2S4.

## Properties
As for the raw formation energy: -0.479 eV per atom.

The structure in CIF format:
```
data_NaMnCu2S4
_symmetry_space_group_name_H-M 'P 1'
_symmetry_Int_Tables_number 1
_cell_length_a 6.3272
_cell_length_b 6.3272
_cell_length_c 6.3272
_cell_angle_alpha 126.71
_cell_angle_beta 126.71
_cell_angle_gamma 78.72
loop_
_symmetry_equiv_pos_as_xyz
'x,y,z'
loop_
_atom_site_label
_atom_site_type_symbol
_atom_site_fract_x
_atom_site_fract_y
_atom_site_fract_z
_atom_site_occupancy
Na1 Na 0.5000 0.5000 0.0000 1
Mn1 Mn 0.0000 0.0000 0.0000 1
Cu1 Cu 0.7500 0.2500 0.5000 1
Cu2 Cu 0.2500 0.7500 0.5000 1
S1 S 0.6525 0.6525 0.5819 1
S2 S 0.9294 0.3475 0.0000 1
S3 S 0.3475 0.9294 0.0000 1
S4 S 0.0706 0.0706 0.4181 1
```

=====

# 2
The following is a DFT calculation (GGA-PBE) of an optimized crystal structure of MnCrAg2.

## Properties
The energy above the most stable polymorph in this dataset comes out at 86.0 meV per atom. For the formation enthalpy at 0 K, the calculation gives 336 meV per atom.

The structure in CIF format:
```
data_MnCrAg2
_symmetry_space_group_name_H-M 'P 1'
_symmetry_Int_Tables_number 1
_cell_length_a 8.8186
_cell_length_b 8.8186
_cell_length_c 8.8186
_cell_angle_alpha 18.99
_cell_angle_beta 18.99
_cell_angle_gamma 18.99
loop_
_symmetry_equiv_pos_as_xyz
'x,y,z'
loop_
_atom_site_label
_atom_site_type_symbol
_atom_site_fract_x
_atom_site_fract_y
_atom_site_fract_z
_atom_site_occupancy
Ag1 Ag 0.0054 0.0054 0.0054 1
Ag2 Ag 0.2452 0.2452 0.2452 1
Cr1 Cr 0.4894 0.4894 0.4894 1
Mn1 Mn 0.7600 0.7600 0.7600 1
```

=====

# 3
The following is a DFT calculation (GGA-PBE) of an optimized crystal structure of LiLa3Pm4Te8.

## Properties
As for the raw formation energy: -1.456 eV per atom.

The structure in CIF format:
```
data_LiLa3Pm4Te8
_symmetry_space_group_name_H-M 'P 1'
_symmetry_Int_Tables_number 1
_cell_length_a 8.9898
_cell_length_b 9.0117
_cell_length_c 8.9907
_cell_angle_alpha 119.92
_cell_angle_beta 120.00
_cell_angle_gamma 90.00
loop_
_symmetry_equiv_pos_as_xyz
'x,y,z'
loop_
_atom_site_label
_atom_site_type_symbol
_atom_site_fract_x
_atom_site_fract_y
_atom_site_fract_z
_atom_site_occupancy
Li1 Li 0.0000 0.5000 0.0000 1
La1 La 0.5000 0.5000 0.0000 1
La2 La 0.5000 0.5000 0.5000 1
La3 La 0.0000 0.5000 0.5000 1
Pm1 Pm 0.5000 0.0000 0.0000 1
Pm2 Pm 0.5000 0.0000 0.5000 1
Pm3 Pm 0.0000 0.0000 0.0000 1
Pm4 Pm 0.0000 0.0000 0.5000 1
Te1 Te 0.2447 0.7495 0.0048 1
Te2 Te 0.2447 0.7495 0.4894 1
Te3 Te 0.2477 0.2430 0.4953 1
Te4 Te 0.7602 0.7495 0.0048 1
Te5 Te 0.2398 0.2505 0.9952 1
Te6 Te 0.7523 0.7570 0.5047 1
Te7 Te 0.7553 0.2505 0.5106 1
Te8 Te 0.7553 0.2505 0.9952 1
```

=====

Calculated volume values (in A^3/atom) by entry order: 19.7; 15.9; 32.2.